1.
DFT (PBE) results for a geometry-optimized SrBiPd structure.

abc: 4.8999 8.3431 15.9810
angles: 90.00 90.00 90.00
Element x y z (fractional)
Bi: 0.5000 0.4076 0.3480
Bi: 0.5000 0.4076 0.6520
Bi: 0.5000 0.0888 0.8994
Bi: 0.5000 0.0888 0.1006
Bi: 0.0000 0.5924 0.8480
Bi: 0.0000 0.5924 0.1520
Bi: 0.0000 0.9112 0.6006
Bi: 0.0000 0.9112 0.3994
Pd: 0.5000 0.0780 0.6055
Pd: 0.0000 0.9220 0.8945
Pd: 0.0000 0.5838 0.3454
Pd: 0.0000 0.5838 0.6546
Pd: 0.0000 0.9220 0.1055
Pd: 0.5000 0.4162 0.8454
Pd: 0.5000 0.0780 0.3945
Pd: 0.5000 0.4162 0.1546
Sr: 0.0000 0.3006 0.0000
Sr: 0.5000 0.7892 0.7460
Sr: 0.5000 0.7070 0.0000
Sr: 0.0000 0.2108 0.2460
Sr: 0.0000 0.2108 0.7540
Sr: 0.0000 0.2930 0.5000
Sr: 0.5000 0.6994 0.5000
Sr: 0.5000 0.7892 0.2540

Calculated values
Final energy, eV per formula unit: -12.98


2.
DFT (PBE) results for a geometry-optimized SrBi2Pd5 structure.

abc: 4.2954 7.2314 7.2314
angles: 56.16 72.72 72.72
Element x y z (fractional)
Bi: 0.7708 0.7292 0.7292
Bi: 0.2292 0.2708 0.2708
Pd: 0.6181 0.5858 0.1780
Pd: 0.3819 0.8220 0.4142
Pd: 0.3819 0.4142 0.8220
Pd: 0.0000 0.5000 0.5000
Pd: 0.6181 0.1780 0.5858
Sr: 0.0000 0.0000 0.0000

Calculated values
Final energy, eV per formula unit: -38.47


3.
DFT (PBE) results for a geometry-optimized SrBi12Pd4 structure.

abc: 8.6830 8.6830 8.6830
angles: 109.47 109.47 109.47
Element x y z (fractional)
Bi: 0.1598 0.6606 0.8204
Bi: 0.8204 0.1598 0.6606
Bi: 0.8402 0.6606 0.5008
Bi: 0.5008 0.8402 0.6606
Bi: 0.1796 0.8402 0.3394
Bi: 0.3394 0.4992 0.1598
Bi: 0.4992 0.1598 0.3394
Bi: 0.1598 0.3394 0.4992
Bi: 0.8402 0.3394 0.1796
Bi: 0.6606 0.5008 0.8402
Bi: 0.6606 0.8204 0.1598
Bi: 0.3394 0.1796 0.8402
Pd: 0.0000 0.5000 0.0000
Pd: 0.0000 0.0000 0.5000
Pd: 0.5000 0.5000 0.5000
Pd: 0.5000 0.0000 0.0000
Sr: 0.0000 0.0000 0.0000

Calculated values
Final energy, eV per formula unit: -73.44


4.
DFT (PBE) results for a geometry-optimized Sr3BiPd structure.

abc: 5.8021 5.8021 5.8021
angles: 90.00 90.00 90.00
Element x y z (fractional)
Sr: 0.0000 0.0000 0.5000
Sr: 0.0000 0.5000 0.0000
Sr: 0.5000 0.0000 0.0000
Pd: 0.0000 0.0000 0.0000
Bi: 0.5000 0.5000 0.5000

Calculated values
ΔE to the lowest computed polymorph, meV per atom: 98


5.
DFT (PBE) results for a geometry-optimized SrBi3Pd3 structure.

abc: 4.8180 9.3824 9.3824
angles: 120.00 90.00 90.00
Element x y z (fractional)
Sr: 0.7500 0.3334 0.6667
Sr: 0.2500 0.6666 0.3333
Bi: 0.7500 0.7354 0.0388
Bi: 0.2500 0.0388 0.3034
Bi: 0.2500 0.2646 0.9612
Bi: 0.7500 0.3034 0.2646
Bi: 0.2500 0.6966 0.7354
Bi: 0.7500 0.9612 0.6966
Pd: 0.2500 0.5478 0.9386
Pd: 0.7500 0.9386 0.3909
Pd: 0.7500 0.6091 0.5478
Pd: 0.2500 0.0614 0.6091
Pd: 0.7500 0.4522 0.0614
Pd: 0.2500 0.3909 0.4522

Calculated values
ΔE to the lowest computed polymorph, meV per atom: 0


6.
DFT (PBE) results for a geometry-optimized SrBiPd2 structure.

abc: 4.8243 7.3052 7.5089
angles: 90.00 130.13 90.00
Element x y z (fractional)
Pd: 0.8790 0.0473 0.6287
Pd: 0.8790 0.4527 0.6287
Pd: 0.1210 0.5473 0.3713
Pd: 0.1210 0.9527 0.3713
Sr: 0.5942 0.7500 0.8445
Sr: 0.4058 0.2500 0.1555
Bi: 0.5663 0.7500 0.3167
Bi: 0.4337 0.2500 0.6833

Calculated values
Final energy, eV per formula unit: -18.38


7.
DFT (PBE) results for a geometry-optimized SrBiPd structure.

abc: 9.7951 9.7951 6.0069
angles: 51.14 51.14 72.64
Element x y z (fractional)
Sr: 0.7649 0.4671 0.5351
Sr: 0.4671 0.7649 0.0351
Sr: 0.3400 0.0797 0.3518
Sr: 0.0797 0.3400 0.8518
Pd: 0.7880 0.5736 0.9113
Pd: 0.7590 0.0638 0.6552
Pd: 0.5736 0.7880 0.4113
Pd: 0.0638 0.7590 0.1552
Bi: 0.0249 0.8404 0.5815
Bi: 0.2677 0.5441 0.9471
Bi: 0.8404 0.0249 0.0815
Bi: 0.5441 0.2677 0.4471

Calculated values
Final energy, eV per formula unit: -12.71


8.
DFT (PBE) results for a geometry-optimized SrBiPd2 structure.

abc: 4.7882 4.7882 5.8571
angles: 65.87 65.87 60.00
Element x y z (fractional)
Pd: 0.7988 0.7988 0.6036
Pd: 0.2012 0.2012 0.3964
Sr: 0.0000 0.0000 0.0000
Bi: 0.5000 0.5000 0.5000

Calculated values
Final energy, eV per formula unit: -18.24